A plane-wave DFT calculation with PBE+U was carried out for an optimized crystal structure of NaTmV2O8.

Summary:
space-group type	P-3m1 (164)
energy	-6.958	eV/atom
total moment	2.0	μB per formula unit
crystal system	trigonal
DOS(E_F)	10.91	states/eV/f.u.

Cell lengths 5.828, 5.828, 6.792 Å; angles 90.00, 90.00, 120.00 degrees
Fractional positions:
Na: 0.000 0.000 0.000
Tm: 0.000 0.000 0.500
V: 0.333 0.667 0.212
V: 0.667 0.333 0.788
O: 0.169 0.338 0.293
O: 0.169 0.831 0.293
O: 0.333 0.667 0.961
O: 0.338 0.169 0.707
O: 0.662 0.831 0.293
O: 0.667 0.333 0.039
O: 0.831 0.169 0.707
O: 0.831 0.662 0.707